The following is a DFT calculation (PBE) of crystalline BeFe2Ir at its relaxed geometry.

abc: 4.0212 4.0212 4.0212
angles: 60.00 60.00 60.00
Fractional coordinates of all 4 atoms:
Be  0.5000  0.5000  0.5000
Fe  0.0000  0.0000  0.0000
Fe  0.7500  0.7500  0.7500
Ir  0.2500  0.2500  0.2500

Output
E	-29.9	eV/cell